Computed, not measured: AcLaTb2Dy after structural relaxation at the PBE level of DFT.

Fermi-level density of states (states/eV/cell): 16.67
DFT total energy (eV for the cell shown): -45.3
Space-group type: No. 11

Cell and atoms, written as CIF:
```
data_AcLaTb2Dy
_chemical_formula_sum 'Ac2 La2 Tb4 Dy2'
_space_group_name_H-M_alt 'P 1'
_space_group_IT_number 1
_cell_length_a 5.911
_cell_length_b 6.433
_cell_length_c 9.881
_cell_angle_alpha 71.07
_cell_angle_beta 90.00
_cell_angle_gamma 90.00
loop_
_space_group_symop_operation_xyz
'x,y,z'
loop_
_atom_site_label
_atom_site_type_symbol
_atom_site_fract_x
_atom_site_fract_y
_atom_site_fract_z
Ac1 Ac 0.750 0.570 0.196
Ac2 Ac 0.250 0.430 0.804
La1 La 0.750 0.359 0.598
La2 La 0.250 0.641 0.402
Tb1 Tb 0.750 0.775 0.797
Tb2 Tb 0.250 0.225 0.203
Tb3 Tb 0.250 0.033 0.598
Tb4 Tb 0.750 0.967 0.402
Dy1 Dy 0.250 0.837 0.997
Dy2 Dy 0.750 0.163 0.003
```